Record 1
# Cs2LaSbF6 PBE-GGA optimized geometry
# * calculated volume: 27.03 A^3/atom
# * magnetization: 0.00 Bohr magnetons per cell
# * formation energy without anion corrections: -2.86 eV/atom
data_Cs2LaSbF6
_chemical_formula_sum 'Cs4 La2 Sb2 F12'
_symmetry_space_group_name_H-M 'I 4/m m m'
_symmetry_Int_Tables_number 139
_symmetry_space_group_name_Hall '-I 4 2'
_cell_length_a 6.529
_cell_length_b 6.529
_cell_length_c 12.680
_cell_angle_alpha 90.00
_cell_angle_beta 90.00
_cell_angle_gamma 90.00
loop_
_atom_site_label
_atom_site_fract_x
_atom_site_fract_y
_atom_site_fract_z
Cs1 0.000 0.500 0.250
La1 0.000 0.000 0.000
Sb1 0.000 0.000 0.500
F1 0.000 0.000 0.181
F2 0.248 0.248 0.500

Record 2
# Na3PuNp2N6 PBE-GGA optimized geometry
# * calculated volume: 14.84 A^3/atom
# * magnetization: 14.00 Bohr magnetons per cell
# * formation energy without anion corrections: -0.85 eV/atom
data_Na3PuNp2N6
_chemical_formula_sum 'Na6 Pu2 Np4 N12'
_symmetry_space_group_name_H-M 'C 1 2/m 1'
_symmetry_Int_Tables_number 12
_symmetry_space_group_name_Hall '-C 2y'
_cell_length_a 6.035
_cell_length_b 10.456
_cell_length_c 5.991
_cell_angle_alpha 90.00
_cell_angle_beta 109.63
_cell_angle_gamma 90.00
loop_
_atom_site_label
_atom_site_fract_x
_atom_site_fract_y
_atom_site_fract_z
Na1 0.000 0.000 0.000
Na2 0.000 0.332 0.000
Pu1 0.000 0.500 0.500
Np1 0.000 0.167 0.500
N1 0.215 0.000 0.681
N2 0.233 0.328 0.680

Record 3
# Dy3B2PdPt9 PBE-GGA optimized geometry
# * calculated formation energy: -0.790 eV/atom
# * calculated volume: 17.77 A^3/atom
# * magnetization: 0.00 Bohr magnetons per cell
data_Dy3B2PdPt9
_chemical_formula_sum 'Dy3 B2 Pd1 Pt9'
_symmetry_space_group_name_H-M 'P -3 m 1'
_symmetry_Int_Tables_number 164
_symmetry_space_group_name_Hall '-P 3 2"'
_cell_length_a 5.6868
_cell_length_b 5.6868
_cell_length_c 9.5149
_cell_angle_alpha 90.00
_cell_angle_beta 90.00
_cell_angle_gamma 120.00
loop_
_atom_site_label
_atom_site_fract_x
_atom_site_fract_y
_atom_site_fract_z
Dy1 0.0000 0.0000 0.0000
Dy2 0.3333 0.6667 0.6000
B1 0.3333 0.6667 0.1468
Pd1 0.0000 0.0000 0.5000
Pt1 0.0000 0.5000 0.0000
Pt2 0.1635 0.3270 0.2779

DFT total energy values, unit eV per atom, following the record order: -5.06, -8.69, -6.57.